# ZnSn2PC | Alexandria | SCAN | single point on PBEsol structure
# - DOS at the Fermi energy (states/eV per cell) = 2.74
# - energy of formation (kcal/mol of atoms) = 28.212
# - energy (eV for the cell shown) = -99.7
data_ZnSn2PC
_space_group_name_H-M_alt 'P 1'
_space_group_IT_number 1
_cell_length_a 3.5557
_cell_length_b 5.3232
_cell_length_c 5.3232
_cell_angle_alpha 90.00
_cell_angle_beta 90.00
_cell_angle_gamma 90.00
loop_
_space_group_symop_operation_xyz
'x,y,z'
loop_
_atom_site_label
_atom_site_type_symbol
_atom_site_fract_x
_atom_site_fract_y
_atom_site_fract_z
C1 C 0.5000 0.0000 0.0000
P1 P 0.5000 0.5000 0.5000
Zn1 Zn 0.0000 0.0000 0.0000
Sn1 Sn 0.0000 0.0000 0.5000
Sn2 Sn 0.0000 0.5000 0.0000